Material: Cs2K4Fe2O5
Method: DFT, GGA+U
State: optimized geometry

Cell lengths 6.8065, 7.0535, 6.8065 Å; angles 90.07, 117.08, 90.07 degrees
With the nearest neighbours (Å) after each atom.
Fractional positions:
Fe1 0.8019 0.3083 0.8019  3 O 1.90-1.95
Fe2 0.1981 0.6917 0.1981  3 O 1.90-1.95
Cs1 0.6707 0.8007 0.6707  5 O 3.16-3.46, 1 Fe 3.44
Cs2 0.3293 0.1993 0.3293  5 O 3.16-3.46, 1 Fe 3.44
K1 0.2379 0.5000 0.7621  5 O 2.76-3.02
K2 0.2226 0.0000 0.7774  4 O 2.67-2.78
K3 0.7774 0.0000 0.2226  4 O 2.67-2.78
K4 0.7621 0.5000 0.2379  5 O 2.76-3.02
O1 0.8531 0.2283 0.5629  1 Fe 1.90
O2 0.1469 0.7717 0.4371  1 Fe 1.90
O3 0.4371 0.7717 0.1469  1 Fe 1.90
O4 0.0000 0.5000 0.0000  2 Fe 1.95
O5 0.5629 0.2283 0.8531  1 Fe 1.90

Output
Space-group type: C2/m, No. 12
Total moment, μB/cell: 8.00
VASP energy, eV per atom: -4.537